*A*
Density functional theory data (GGA-PBE) for a relaxed Mg2NiBr crystal.

POSCAR file:
```
Mg2NiBr
1.0
3.325 0.000 0.000
0.000 3.228 0.000
-0.030 0.000 7.468
Mg Ni Br
2 1 1
Direct
0.002 0.000 0.196 Mg
0.998 0.000 0.804 Mg
0.500 0.500 0.000 Ni
0.000 0.500 0.500 Br
```

Output
- M_tot (μB per formula unit) = 0.000
- crystal system = monoclinic
- space group = P2/m

*B*
Density functional theory data (GGA-PBE) for a relaxed Mg2NiBr crystal.

POSCAR file:
```
Mg2NiBr
1.0
0.000 3.426 3.426
3.426 0.000 3.426
3.426 3.426 0.000
Mg Ni Br
2 1 1
Direct
0.000 0.000 0.000 Mg
0.250 0.250 0.250 Mg
0.500 0.500 0.500 Ni
0.750 0.750 0.750 Br
```

Output
- M_tot (μB per formula unit) = 0.001
- crystal system = cubic
- space group = F-43m

Quick look at relative energies in eV/atom: *A* 0.000; *B* 0.711.

*A*
Density functional theory data (GGA-PBE) for a relaxed MgNiBr2 crystal.

POSCAR file:
```
MgNiBr2
1.0
-1.852 3.254 3.724
1.852 -3.254 3.724
1.852 3.254 -3.724
Mg Ni Br
1 1 2
Direct
0.000 0.000 0.000 Mg
0.500 0.500 0.000 Ni
0.274 0.774 0.500 Br
0.726 0.226 0.500 Br
```

Output
- M_tot (μB per formula unit) = 0.250
- crystal system = orthorhombic
- space group = Immm

*B*
Density functional theory data (GGA-PBE) for a relaxed MgNiBr2 crystal.

POSCAR file:
```
MgNiBr2
1.0
1.836 -3.503 0.000
1.836 3.503 0.000
0.000 0.000 7.453
Mg Ni Br
1 1 2
Direct
0.000 0.000 0.000 Mg
0.000 0.000 0.500 Ni
0.500 0.500 0.275 Br
0.500 0.500 0.725 Br
```

Output
- M_tot (μB per formula unit) = 0.285
- crystal system = orthorhombic
- space group = Cmmm

Quick look at relative energies in eV/atom: *A* 0.000; *B* 0.045.

*A*
Density functional theory data (GGA-PBE) for a relaxed MgNi2Br crystal.

POSCAR file:
```
MgNi2Br
1.0
-1.881 1.881 4.264
1.881 -1.881 4.264
1.881 1.881 -4.264
Mg Ni Br
1 2 1
Direct
0.000 0.000 0.000 Mg
0.250 0.750 0.500 Ni
0.500 0.500 0.000 Ni
0.750 0.250 0.500 Br
```

Output
- M_tot (μB per formula unit) = 0.000
- crystal system = tetragonal
- space group = I-4m2

*B*
Density functional theory data (GGA-PBE) for a relaxed MgNi2Br crystal.

POSCAR file:
```
MgNi2Br
1.0
4.390 0.000 0.000
0.000 3.218 0.000
-1.265 0.000 4.318
Mg Ni Br
1 2 1
Direct
0.000 0.000 0.000 Mg
0.500 0.000 0.500 Ni
0.500 0.500 0.000 Ni
0.000 0.500 0.500 Br
```

Output
- M_tot (μB per formula unit) = 0.000
- crystal system = monoclinic
- space group = P2/m

*C*
Density functional theory data (GGA-PBE) for a relaxed MgNi2Br crystal.

POSCAR file:
```
MgNi2Br
1.0
1.542 0.890 7.810
-1.542 0.890 7.810
0.000 -1.780 7.810
Mg Ni Br
1 2 1
Direct
0.000 0.000 0.000 Mg
0.246 0.246 0.246 Ni
0.754 0.754 0.754 Ni
0.500 0.500 0.500 Br
```

Output
- M_tot (μB per formula unit) = 0.000
- crystal system = trigonal
- space group = R-3m

Quick look at relative energies in eV/atom: *A* 0.037; *B* 0.000; *C* 0.049.

*A*
Density functional theory data (GGA-PBE) for a relaxed MgNi2Br crystal.

POSCAR file:
```
MgNi2Br
1.0
3.038 0.000 0.000
0.000 3.684 0.000
0.000 0.000 6.349
Mg Ni Br
1 2 1
Direct
0.000 0.000 0.000 Mg
0.500 0.500 0.190 Ni
0.500 0.500 0.810 Ni
0.000 0.500 0.500 Br
```

Output
- M_tot (μB per formula unit) = 0.000
- crystal system = orthorhombic
- space group = Pmmm

*B*
Density functional theory data (GGA-PBE) for a relaxed MgNi2Br crystal.

POSCAR file:
```
MgNi2Br
1.0
3.314 0.000 0.000
0.000 3.340 0.000
0.000 0.000 5.659
Mg Ni Br
1 2 1
Direct
0.000 0.000 0.000 Mg
0.500 0.500 0.221 Ni
0.500 0.500 0.779 Ni
0.000 0.000 0.500 Br
```

Output
- M_tot (μB per formula unit) = 0.880
- crystal system = orthorhombic
- space group = Pmmm

Quick look at relative energies in eV/atom: *A* 0.000; *B* 0.114.

*A*
Density functional theory data (GGA-PBE) for a relaxed MgNiBr4 crystal.

POSCAR file:
```
MgNiBr4
1.0
6.543 0.000 0.000
0.000 3.772 0.000
-0.296 0.000 6.910
Mg Ni Br
1 1 4
Direct
0.000 0.000 0.000 Mg
0.500 0.500 0.000 Ni
0.187 0.500 0.216 Br
0.337 0.000 0.793 Br
0.663 0.000 0.207 Br
0.813 0.500 0.784 Br
```

Output
- M_tot (μB per formula unit) = 1.953
- crystal system = monoclinic
- space group = P2/m

*B*
Density functional theory data (GGA-PBE) for a relaxed MgNiBr4 crystal.

POSCAR file:
```
MgNiBr4
1.0
0.000 4.404 4.404
4.404 0.000 4.404
4.404 4.404 0.000
Mg Ni Br
1 1 4
Direct
0.000 0.000 0.000 Mg
0.750 0.750 0.750 Ni
0.375 0.375 0.375 Br
0.375 0.375 0.875 Br
0.375 0.875 0.375 Br
0.875 0.375 0.375 Br
```

Output
- M_tot (μB per formula unit) = 0.417
- crystal system = cubic
- space group = F-43m

Quick look at relative energies in eV/atom: *A* 0.000; *B* 1.689.

*A*
Density functional theory data (GGA-PBE) for a relaxed Mg2NiBr2 crystal.

POSCAR file:
```
Mg2NiBr2
1.0
-2.833 2.833 3.773
2.833 -2.833 3.773
2.833 2.833 -3.773
Mg Ni Br
2 1 2
Direct
0.250 0.750 0.500 Mg
0.750 0.250 0.500 Mg
0.000 0.000 0.000 Ni
0.296 0.296 0.000 Br
0.704 0.704 0.000 Br
```

Output
- M_tot (μB per formula unit) = 0.000
- crystal system = tetragonal
- space group = I4/mmm

*B*
Density functional theory data (GGA-PBE) for a relaxed Mg2NiBr2 crystal.

POSCAR file:
```
Mg2NiBr2
1.0
7.690 0.000 0.000
0.000 7.690 0.000
0.000 0.000 3.607
Mg Ni Br
4 2 4
Direct
0.181 0.319 0.000 Mg
0.319 0.819 0.000 Mg
0.681 0.181 0.000 Mg
0.819 0.681 0.000 Mg
0.000 0.000 0.500 Ni
0.500 0.500 0.500 Ni
0.143 0.643 0.500 Br
0.357 0.143 0.500 Br
0.643 0.857 0.500 Br
0.857 0.357 0.500 Br
```

Output
- M_tot (μB per formula unit) = 0.000
- crystal system = tetragonal
- space group = P4/mbm

Quick look at relative energies in eV/atom: *A* 0.000; *B* 0.132.

*A*
Density functional theory data (GGA-PBE) for a relaxed MgNiBr3 crystal.

POSCAR file:
```
MgNiBr3
1.0
5.214 0.000 0.000
0.000 5.214 0.000
0.000 0.000 5.214
Mg Ni Br
1 1 3
Direct
0.000 0.000 0.000 Mg
0.500 0.500 0.500 Ni
0.000 0.000 0.500 Br
0.000 0.500 0.000 Br
0.500 0.000 0.000 Br
```

Output
- M_tot (μB per formula unit) = 1.007
- crystal system = cubic
- space group = Pm-3m

*B*
Density functional theory data (GGA-PBE) for a relaxed MgNiBr3 crystal.

POSCAR file:
```
MgNiBr3
1.0
4.943 0.000 0.000
0.000 4.943 0.000
0.000 0.000 4.943
Mg Ni Br
1 1 3
Direct
0.000 0.000 0.000 Mg
0.500 0.500 0.500 Ni
0.000 0.500 0.500 Br
0.500 0.000 0.500 Br
0.500 0.500 0.000 Br
```

Output
- M_tot (μB per formula unit) = 0.000
- crystal system = cubic
- space group = Pm-3m

Quick look at relative energies in eV/atom: *A* 0.132; *B* 0.000.

*A*
Density functional theory data (GGA-PBE) for a relaxed MgNiSeBr2 crystal.

POSCAR file:
```
MgNiSeBr2
1.0
5.089 0.000 0.000
0.000 5.089 0.000
0.000 0.000 5.306
Mg Ni Se Br
1 1 1 2
Direct
0.000 0.000 0.000 Mg
0.500 0.500 0.500 Ni
0.000 0.000 0.500 Se
0.000 0.500 0.000 Br
0.500 0.000 0.000 Br
```

Output
- M_tot (μB per formula unit) = 1.957
- crystal system = tetragonal
- space group = P4/mmm

*B*
Density functional theory data (GGA-PBE) for a relaxed MgNiSeBr2 crystal.

POSCAR file:
```
MgNiSeBr2
1.0
4.793 0.000 0.000
0.000 4.793 0.000
0.000 0.000 5.072
Mg Ni Se Br
1 1 1 2
Direct
0.000 0.000 0.000 Mg
0.500 0.500 0.500 Ni
0.500 0.500 0.000 Se
0.000 0.500 0.500 Br
0.500 0.000 0.500 Br
```

Output
- M_tot (μB per formula unit) = 0.000
- crystal system = tetragonal
- space group = P4/mmm

Quick look at relative energies in eV/atom: *A* 0.317; *B* 0.000.